1.
Below is a relaxed Sr2CaNdO4 crystal, with properties calculated at the GGA-PBE level.

a b c (Å): 3.5809 6.1929 6.2294
angles (deg): 109.26 90.00 90.00
Closest atoms and distances in Å follow each position.
Element x y z (fractional)
Sr 0.5000 0.0000 0.5000  6 O 2.59-2.60
Sr 0.0000 0.5000 0.5000  6 O 2.60
Ca 0.0000 0.0000 0.0000  6 O 2.47-2.48
Nd 0.5000 0.5000 0.0000  6 O 2.47-2.49
O 0.5000 0.2446 0.2319  1 Nd 2.47, 2 Ca 2.48, 3 Sr 2.60
O 0.5000 0.7554 0.7681  1 Nd 2.47, 2 Ca 2.48, 3 Sr 2.60
O 0.0000 0.2532 0.7663  1 Ca 2.47, 2 Nd 2.49, 3 Sr 2.59-2.60
O 0.0000 0.7468 0.2337  1 Ca 2.47, 2 Nd 2.49, 3 Sr 2.59-2.60

Properties
Space-group type: P2/m
Formation energy (no corrections) (kJ/mol of formula units): -2117
Crystal system: monoclinic

***

2.
Below is a relaxed Ca2NdTaO6 crystal, with properties calculated at the GGA-PBE level.

a b c (Å): 5.9369 5.6513 9.9402
angles (deg): 55.65 90.00 90.00
Closest atoms and distances in Å follow each position.
Element x y z (fractional)
Ca 0.2443 0.5013 0.5002  6 O 2.27-2.37
Ca 0.7557 0.5013 0.0002  6 O 2.27-2.37
Ca 0.1985 0.7298 0.7557  4 O 2.33-2.45
Ca 0.8015 0.7298 0.2557  4 O 2.33-2.45
Nd 0.3111 0.2752 0.2439  5 O 2.34-2.56
Nd 0.6889 0.2752 0.7439  5 O 2.34-2.56
Ta 0.7538 0.0019 0.4989  6 O 2.00-2.04
Ta 0.2462 0.0019 0.9989  6 O 2.00-2.04
O 0.8092 0.8970 0.7279  1 Ta 2.03
O 0.1908 0.8970 0.2279  1 Ta 2.03
O 0.6945 0.1107 0.2713  1 Ta 2.01
O 0.3055 0.1107 0.7713  1 Ta 2.01
O 0.9643 0.2417 0.9260  1 Ta 2.01
O 0.0357 0.2417 0.4260  1 Ta 2.01
O 0.5266 0.7499 0.0740  1 Ta 2.04
O 0.4734 0.7499 0.5740  1 Ta 2.04
O 0.9255 0.6534 0.5553  1 Ta 2.00
O 0.0745 0.6534 0.0553  1 Ta 2.00
O 0.5685 0.3390 0.4468  1 Ta 2.00
O 0.4315 0.3390 0.9468  1 Ta 2.00

Properties
Space-group type: Pc
Formation energy (no corrections) (kJ/mol of formula units): -3037
Crystal system: monoclinic

***

3.
Below is a relaxed CaNdTcO6 crystal, with properties calculated at the GGA-PBE level.

a b c (Å): 5.5311 5.5311 4.9389
angles (deg): 90.00 90.00 60.00
Closest atoms and distances in Å follow each position.
Element x y z (fractional)
Ca 0.6666 0.6667 0.5000  6 O 2.30
Nd 0.0000 0.0000 0.0000  6 O 2.40
Tc 0.3333 0.3333 0.5000  6 O 1.91
O 0.0548 0.3243 0.2798  1 Tc 1.91
O 0.3243 0.0549 0.7202  1 Tc 1.91
O 0.6208 0.3243 0.7202  1 Tc 1.91
O 0.0548 0.6208 0.7202  1 Tc 1.91
O 0.3243 0.6208 0.2797  1 Tc 1.91
O 0.6208 0.0548 0.2798  1 Tc 1.91

Properties
Space-group type: P312
Formation energy (no corrections) (kJ/mol of formula units): -1936
Crystal system: trigonal

***

4.
Below is a relaxed CaNd2TcO8 crystal, with properties calculated at the GGA-PBE level.

a b c (Å): 5.0813 4.5617 7.1228
angles (deg): 77.45 90.81 88.24
Closest atoms and distances in Å follow each position.
Element x y z (fractional)
Ca 0.0000 0.0000 0.5000  4 O 2.41-2.66
Nd 0.5079 0.3874 0.7839  8 O 2.33-2.60
Nd 0.4921 0.6126 0.2161  8 O 2.33-2.60
Tc 0.0000 0.0000 0.0000  6 O 1.84-1.97
O 0.9863 0.7163 0.2518  1 Tc 1.97
O 0.6964 0.8424 0.8999  1 Tc 1.91
O 0.7864 0.2644 0.0955  1 Tc 1.84
O 0.0137 0.2837 0.7482  1 Tc 1.97
O 0.3036 0.1576 0.1001  1 Tc 1.91
O 0.2136 0.7356 0.9045  1 Tc 1.84
O 0.4902 0.7733 0.5049  1 O 2.06
O 0.5098 0.2267 0.4951  1 O 2.06

Properties
Space-group type: P-1
Formation energy (no corrections) (kJ/mol of formula units): -2605
Crystal system: triclinic

***

5.
Below is a relaxed CaNdTi4O12 crystal, with properties calculated at the GGA-PBE level.

a b c (Å): 5.4661 5.4661 7.7709
angles (deg): 90.00 90.00 90.39
Closest atoms and distances in Å follow each position.
Element x y z (fractional)
Ca 0.5393 0.4607 0.0000  10 O 2.58-2.87
Nd 0.9778 0.0222 0.5000  6 O 2.42-2.59
Ti 0.0125 0.5059 0.7528  6 O 1.91-2.00
Ti 0.0125 0.5059 0.2472  6 O 1.91-2.00
Ti 0.4941 0.9875 0.2472  6 O 1.91-2.00
Ti 0.4941 0.9875 0.7528  6 O 1.91-2.00
O 0.2755 0.2773 0.7558  2 Ti 1.91-1.99
O 0.7227 0.7245 0.7558  2 Ti 1.91-1.99
O 0.7227 0.7245 0.2442  2 Ti 1.91-1.99
O 0.2755 0.2773 0.2442  2 Ti 1.91-1.99
O 0.7707 0.2293 0.7611  2 Ti 2.00
O 0.2100 0.7900 0.7129  2 Ti 1.91
O 0.2100 0.7900 0.2871  2 Ti 1.91
O 0.7707 0.2293 0.2389  2 Ti 2.00
O 0.0181 0.5193 0.0000  2 Ti 1.92
O 0.9860 0.4654 0.5000  2 Ti 1.98
O 0.4807 0.9819 0.0000  2 Ti 1.92
O 0.5346 0.0140 0.5000  2 Ti 1.98

Properties
Space-group type: Amm2
Formation energy (no corrections) (kJ/mol of formula units): -4648
Crystal system: orthorhombic

***

6.
Below is a relaxed CaNd2Ti2ZnO9 crystal, with properties calculated at the GGA-PBE level.

a b c (Å): 5.4775 5.6824 23.4429
angles (deg): 89.95 89.78 89.67
Closest atoms and distances in Å follow each position.
Element x y z (fractional)
Ca 0.5070 0.4516 0.4124  4 O 2.30-2.47
Ca 0.5068 0.4501 0.0818  4 O 2.29-2.48
Ca 0.0057 0.0583 0.5856  4 O 2.32-2.49
Ca 0.0079 0.0565 0.2549  6 O 2.34-2.62
Nd 0.9821 0.9417 0.7476  6 O 2.36-2.59
Nd 0.9861 0.9346 0.4129  7 O 2.36-2.63
Nd 0.9869 0.9339 0.0826  7 O 2.37-2.64
Nd 0.5172 0.4433 0.7489  6 O 2.35-2.59
Nd 0.4832 0.5555 0.9181  5 O 2.34-2.56
Nd 0.4865 0.5576 0.5835  6 O 2.35-2.59
Nd 0.4864 0.5578 0.2534  6 O 2.36-2.60
Nd 0.0173 0.0572 0.9184  6 O 2.37-2.60
Ti 0.0007 0.4998 0.8332  6 O 1.97-2.00
Ti 0.9753 0.4848 0.4967  4 O 1.90-1.92
Ti 0.9757 0.4841 0.1661  4 O 1.90-1.93
Ti 0.5087 0.0015 0.0008  6 O 1.92-2.10
Ti 0.4786 0.0093 0.5007  4 O 1.88-1.98
Ti 0.4909 0.0036 0.6656  6 O 1.92-2.10
Ti 0.4774 0.0089 0.1690  4 O 1.88-1.99
Ti 0.5009 0.0069 0.3331  6 O 1.93-2.04
Zn 0.9979 0.4962 0.0027  6 O 2.11-2.16
Zn 0.0002 0.4976 0.6642  6 O 2.10-2.17
Zn 0.9986 0.4942 0.3336  6 O 2.10-2.19
Zn 0.5002 0.9993 0.8333  6 O 2.11-2.13
O 0.9011 0.4686 0.9141  1 Ti 1.98, 1 Zn 2.15
O 0.9122 0.4732 0.5772  1 Ti 1.92, 1 Zn 2.10
O 0.9131 0.4736 0.2463  1 Ti 1.91, 1 Zn 2.10
O 0.8084 0.2127 0.8147  1 Ti 2.00, 1 Zn 2.13
O 0.7987 0.2055 0.4819  1 Ti 1.90
O 0.7987 0.2051 0.1511  1 Ti 1.90
O 0.7876 0.1931 0.6812  1 Ti 1.99, 1 Zn 2.13
O 0.7923 0.1889 0.3474  1 Ti 1.94, 1 Zn 2.10
O 0.7926 0.1883 0.0165  1 Ti 1.92, 1 Zn 2.11
O 0.6917 0.7123 0.6808  1 Ti 2.01, 1 Zn 2.11
O 0.7122 0.7033 0.4831  1 Ti 1.92
O 0.6942 0.7149 0.3483  1 Ti 2.00, 1 Zn 2.11
O 0.7129 0.6959 0.8160  1 Ti 1.97, 1 Zn 2.11
O 0.7125 0.7035 0.1525  1 Ti 1.93
O 0.6924 0.7147 0.0194  1 Ti 1.96, 1 Zn 2.11
O 0.5960 0.9688 0.9211  1 Ti 1.93, 1 Zn 2.13
O 0.5921 0.9759 0.5795  2 Ti 1.96-2.10
O 0.5905 0.9764 0.2491  2 Ti 1.99-2.04
O 0.4156 0.0272 0.4177  2 Ti 1.98-2.04
O 0.4025 0.0288 0.7456  1 Ti 1.94, 1 Zn 2.13
O 0.4137 0.0291 0.0872  2 Ti 1.95-2.10
O 0.3068 0.2848 0.9842  1 Ti 1.99, 1 Zn 2.11
O 0.2897 0.3044 0.8504  1 Ti 1.97, 1 Zn 2.11
O 0.3011 0.2913 0.5149  1 Ti 1.90
O 0.3151 0.2938 0.6494  1 Ti 1.94, 1 Zn 2.10
O 0.3013 0.2911 0.1843  1 Ti 1.90
O 0.3131 0.2898 0.3187  1 Ti 1.93, 1 Zn 2.10
O 0.2108 0.8088 0.9873  1 Ti 2.00, 1 Zn 2.16
O 0.2157 0.8090 0.6482  1 Ti 1.92
O 0.2170 0.8093 0.3189  1 Ti 1.95, 1 Zn 2.19
O 0.1944 0.7847 0.8524  1 Ti 1.99, 1 Zn 2.12
O 0.2177 0.8026 0.5147  1 Ti 1.88
O 0.2176 0.8020 0.1839  1 Ti 1.88
O 0.0986 0.5313 0.7525  1 Ti 1.97, 1 Zn 2.15
O 0.0955 0.5269 0.4207  1 Ti 1.91, 1 Zn 2.12
O 0.0962 0.5261 0.0898  1 Ti 1.92, 1 Zn 2.12

Properties
Space-group type: P1
Formation energy (no corrections) (kJ/mol of formula units): -4326
Crystal system: triclinic

***

Repeat the third record exactly.
Below is a relaxed CaNdTcO6 crystal, with properties calculated at the GGA-PBE level.

a b c (Å): 5.5311 5.5311 4.9389
angles (deg): 90.00 90.00 60.00
Closest atoms and distances in Å follow each position.
Element x y z (fractional)
Ca 0.6666 0.6667 0.5000  6 O 2.30
Nd 0.0000 0.0000 0.0000  6 O 2.40
Tc 0.3333 0.3333 0.5000  6 O 1.91
O 0.0548 0.3243 0.2798  1 Tc 1.91
O 0.3243 0.0549 0.7202  1 Tc 1.91
O 0.6208 0.3243 0.7202  1 Tc 1.91
O 0.0548 0.6208 0.7202  1 Tc 1.91
O 0.3243 0.6208 0.2797  1 Tc 1.91
O 0.6208 0.0548 0.2798  1 Tc 1.91

Properties
Space-group type: P312
Formation energy (no corrections) (kJ/mol of formula units): -1936
Crystal system: trigonal

***

> Which of these has the lowest formation energy (no corrections)?

CaNdTi4O12

***

Please write out number 5 again, unchanged.
Below is a relaxed CaNdTi4O12 crystal, with properties calculated at the GGA-PBE level.

a b c (Å): 5.4661 5.4661 7.7709
angles (deg): 90.00 90.00 90.39
Closest atoms and distances in Å follow each position.
Element x y z (fractional)
Ca 0.5393 0.4607 0.0000  10 O 2.58-2.87
Nd 0.9778 0.0222 0.5000  6 O 2.42-2.59
Ti 0.0125 0.5059 0.7528  6 O 1.91-2.00
Ti 0.0125 0.5059 0.2472  6 O 1.91-2.00
Ti 0.4941 0.9875 0.2472  6 O 1.91-2.00
Ti 0.4941 0.9875 0.7528  6 O 1.91-2.00
O 0.2755 0.2773 0.7558  2 Ti 1.91-1.99
O 0.7227 0.7245 0.7558  2 Ti 1.91-1.99
O 0.7227 0.7245 0.2442  2 Ti 1.91-1.99
O 0.2755 0.2773 0.2442  2 Ti 1.91-1.99
O 0.7707 0.2293 0.7611  2 Ti 2.00
O 0.2100 0.7900 0.7129  2 Ti 1.91
O 0.2100 0.7900 0.2871  2 Ti 1.91
O 0.7707 0.2293 0.2389  2 Ti 2.00
O 0.0181 0.5193 0.0000  2 Ti 1.92
O 0.9860 0.4654 0.5000  2 Ti 1.98
O 0.4807 0.9819 0.0000  2 Ti 1.92
O 0.5346 0.0140 0.5000  2 Ti 1.98

Properties
Space-group type: Amm2
Formation energy (no corrections) (kJ/mol of formula units): -4648
Crystal system: orthorhombic

***

> What is the formation energy (no corrections) in the second record?

-3037 kJ/mol of formula units